No. 1
# KRbHg2Au | the Alexandria database | PBE-GGA | relaxed
# Calculated total energy (Ry/atom): -0.096
# Relative energy among the computed polymorphs (meV per atom): 143
# Theoretical density (g cm⁻³): 6.2
# DOS(E_F) (states/eV per cell): 2.29
# Total moment (μB per cell): 0.0
# Formation energy from the elements (eV/atom): -0.12
data_KRbHg2Au
_chemical_formula_sum 'K1 Rb1 Hg2 Au1'
_space_group_name_H-M_alt 'P 4/m m m'
_space_group_IT_number 123
_space_group_name_Hall '-P 4 2'
_cell_length_a 5.565
_cell_length_b 5.565
_cell_length_c 6.262
_cell_angle_alpha 90.00
_cell_angle_beta 90.00
_cell_angle_gamma 90.00
loop_
_atom_site_label
_atom_site_fract_x
_atom_site_fract_y
_atom_site_fract_z
_atom_site_occupancy
K1 0.000 0.000 0.000 1
Rb1 0.500 0.500 0.000 1
Hg1 0.000 0.500 0.500 1
Au1 0.500 0.500 0.500 1



No. 2
# KRb8Hg2Au | the Alexandria database | PBE-GGA | relaxed
# Calculated total energy (Ry/atom): -0.086
# Theoretical density (g cm⁻³): 2.9
# DOS(E_F) (states/eV per cell): 7.67
# Total moment (μB per cell): 0.0
# Formation energy from the elements (eV/atom): -0.11
data_KRb8Hg2Au
_chemical_formula_sum 'K1 Rb8 Hg2 Au1'
_space_group_name_H-M_alt 'P -1'
_space_group_IT_number 2
_cell_length_a 8.622
_cell_length_b 9.438
_cell_length_c 9.663
_cell_angle_alpha 86.58
_cell_angle_beta 85.78
_cell_angle_gamma 77.18
loop_
_space_group_symop_operation_xyz
'x,y,z'
'-x,-y,-z'
loop_
_atom_site_label
_atom_site_fract_x
_atom_site_fract_y
_atom_site_fract_z
_atom_site_occupancy
K1 0.000 0.000 0.000 1
Rb1 0.165 0.581 0.294 1
Rb2 0.250 0.667 0.762 1
Rb3 0.261 0.062 0.426 1
Rb4 0.367 0.237 0.921 1
Hg1 0.468 0.352 0.545 1
Au1 0.000 0.500 0.000 1



No. 3
# K5RbHg2Au | the Alexandria database | PBE-GGA | relaxed
# Calculated total energy (Ry/atom): -0.097
# Theoretical density (g cm⁻³): 3.4
# DOS(E_F) (states/eV per cell): 18.41
# Total moment (μB per cell): 0.0
# Formation energy from the elements (eV/atom): -0.17
data_K5RbHg2Au
_chemical_formula_sum 'K20 Rb4 Hg8 Au4'
_space_group_name_H-M_alt 'C m c 21'
_space_group_IT_number 36
_cell_length_a 4.712
_cell_length_b 21.915
_cell_length_c 16.641
_cell_angle_alpha 90.00
_cell_angle_beta 90.00
_cell_angle_gamma 90.00
loop_
_space_group_symop_operation_xyz
'x,y,z'
'-x,-y,z+1/2'
'-x,y,z'
'x,-y,z+1/2'
'x+1/2,y+1/2,z'
'-x+1/2,-y+1/2,z+1/2'
'-x+1/2,y+1/2,z'
'x+1/2,-y+1/2,z+1/2'
loop_
_atom_site_label
_atom_site_fract_x
_atom_site_fract_y
_atom_site_fract_z
_atom_site_occupancy
K1 0.000 0.048 0.000 1
K2 0.000 0.131 0.718 1
K3 0.000 0.226 0.136 1
K4 0.000 0.284 0.397 1
K5 0.000 0.378 0.972 1
Rb1 0.000 0.082 0.266 1
Hg1 0.000 0.459 0.334 1
Hg2 0.000 0.480 0.151 1
Au1 0.000 0.289 0.786 1



No. 4
# K2Rb5Hg2Au | the Alexandria database | PBE-GGA | relaxed
# Calculated total energy (Ry/atom): -0.090
# Theoretical density (g cm⁻³): 3.4
# DOS(E_F) (states/eV per cell): 10.89
# Total moment (μB per cell): 0.0
# Formation energy from the elements (eV/atom): -0.14
data_K2Rb5Hg2Au
_chemical_formula_sum 'K4 Rb10 Hg4 Au2'
_space_group_name_H-M_alt 'P 4/m b m'
_space_group_IT_number 127
_space_group_name_Hall '-P 4 2ab'
_cell_length_a 15.442
_cell_length_b 15.442
_cell_length_c 4.538
_cell_angle_alpha 90.00
_cell_angle_beta 90.00
_cell_angle_gamma 90.00
loop_
_atom_site_label
_atom_site_fract_x
_atom_site_fract_y
_atom_site_fract_z
_atom_site_occupancy
K1 0.184 0.316 0.000 1
Rb1 0.000 0.500 0.500 1
Rb2 0.051 0.817 0.500 1
Hg1 0.139 0.639 0.000 1
Au1 0.000 0.000 0.000 1



Q: Number 3 is which compound?
A: K5RbHg2Au



Q: Which of these has the highest theoretical density?
A: KRbHg2Au



Q: Number 3 is which compound?
A: K5RbHg2Au